Computed, not measured: an optimized crystal structure of KSiRu at the PBE-GGA level of DFT.

- D(E_F): 0.96 states/eV/atom
- Magnetization: 0.000 μB per atom
- Excess energy over the best structure of this formula in the dataset: 858.3 meV per atom
- Symmetry: No. 216
- Total DFT energy (no corrections): -4.32 eV/atom

Cell: 4.448 4.448 4.448 Å, 60.00 60.00 60.00°
Positions (direct):
K: 0.500 0.500 0.500
Ru: 0.750 0.750 0.750
Si: 0.000 0.000 0.000